No. 1
# RbSb2Te2 (GGA-PBE, relaxed)
data_RbSb2Te2
_cell_length_a 6.6160
_cell_length_b 6.6160
_cell_length_c 6.6160
_cell_angle_alpha 125.22
_cell_angle_beta 125.22
_cell_angle_gamma 81.17
_symmetry_space_group_name_H-M 'P 1'
_symmetry_Int_Tables_number 1
loop_
_symmetry_equiv_pos_as_xyz
'x,y,z'
loop_
_atom_site_label
_atom_site_fract_x
_atom_site_fract_y
_atom_site_fract_z
Rb1 0.0000 0.0000 0.0000
Sb1 0.3489 0.3489 0.0000
Sb2 0.6511 0.6511 0.0000
Te1 0.2500 0.7500 0.5000
Te2 0.7500 0.2500 0.5000
# energy relative to the elements, uncorrected = -0.2267 eV/atom
# space-group type = I4/mmm (139)
# energy above the most stable polymorph in this dataset = 0.00 eV per formula unit



No. 2
# H4PbI3N (GGA-PBE, relaxed)
data_H4PbI3N
_cell_length_a 8.0761
_cell_length_b 8.5564
_cell_length_c 14.8066
_cell_angle_alpha 90.00
_cell_angle_beta 90.00
_cell_angle_gamma 89.86
_symmetry_space_group_name_H-M 'P 1'
_symmetry_Int_Tables_number 1
loop_
_symmetry_equiv_pos_as_xyz
'x,y,z'
loop_
_atom_site_label
_atom_site_fract_x
_atom_site_fract_y
_atom_site_fract_z
H1 0.0000 0.0000 0.0000
H2 0.0002 0.1758 0.0545
H3 0.0046 0.5046 0.6117
H4 0.0105 0.0059 0.1152
H5 0.0137 0.4978 0.4965
H6 0.0152 0.6740 0.5512
H7 0.1737 0.0644 0.0516
H8 0.1812 0.5533 0.5575
H9 0.4995 0.9437 0.7228
H10 0.5005 0.1194 0.7772
H11 0.5025 0.6136 0.1646
H12 0.5110 0.1133 0.6621
H13 0.5120 0.4441 0.2252
H14 0.5143 0.6204 0.2798
H15 0.6738 0.0530 0.7256
H16 0.6796 0.5617 0.2177
Pb1 0.1538 0.5598 0.8882
Pb2 0.1823 0.0590 0.3886
Pb3 0.6538 0.5597 0.8886
Pb4 0.6823 0.0593 0.3884
I1 0.4001 0.2635 0.9198
I2 0.4000 0.6591 0.7244
I3 0.3999 0.7540 0.0210
I4 0.4274 0.1544 0.2236
I5 0.4266 0.2604 0.5181
I6 0.4291 0.7651 0.4244
I7 0.8987 0.8564 0.8574
I8 0.9008 0.3658 0.7557
I9 0.9006 0.4606 0.0526
I10 0.9275 0.3534 0.3523
I11 0.9276 0.8584 0.2591
I12 0.9280 0.9638 0.5534
N1 0.0463 0.0615 0.0554
N2 0.0537 0.5574 0.5541
N3 0.5463 0.0574 0.7218
N4 0.5521 0.5600 0.2219
# space-group type = P1 (1)
# energy above the most stable polymorph in this dataset = 0.01 eV per formula unit